Here is ReIrAu2 after structural relaxation from the Alexandria database. Energies are from PBE.

E above lowest polymorph ... 33.46 kJ per mole of atoms
SG ... No. 166
ΔE_f ... 0.468 eV per atom

Unit cell a=9.4547 b=9.4547 c=9.4547 alpha=17.22 beta=17.22 gamma=17.22
Sites, in units of the cell vectors:
Re  0.0000  0.0000  0.0000
Ir  0.5000  0.5000  0.5000
Au  0.2510  0.2510  0.2510
Au  0.7490  0.7490  0.7490

Here is Ni2BiAsC after structural relaxation from the Alexandria database. Energies are from PBE.

SG ... No. 123
ΔE_f ... 0.634 eV per atom

Unit cell a=3.9682 b=3.9682 c=4.8925 alpha=90.00 beta=90.00 gamma=90.00
Sites, in units of the cell vectors:
Ni  0.0000  0.5000  0.0000
Ni  0.5000  0.0000  0.0000
Bi  0.0000  0.0000  0.5000
As  0.5000  0.5000  0.5000
C  0.5000  0.5000  0.0000

Here is Ce3Pb after structural relaxation from the Alexandria database. Energies are from PBE.

SG ... No. 221
ΔE_f ... -0.270 eV per atom

Unit cell a=4.8312 b=4.8312 c=4.8312 alpha=90.00 beta=90.00 gamma=90.00
Sites, in units of the cell vectors:
Ce  0.0000  0.0000  0.5000
Ce  0.0000  0.5000  0.0000
Ce  0.5000  0.0000  0.0000
Pb  0.5000  0.5000  0.5000

Here is CsTlAsBr2 after structural relaxation from the Alexandria database. Energies are from PBE.

E above lowest polymorph ... 49.83 kJ per mole of atoms
SG ... No. 123
Formation energy (no corrections) ... -2 kJ/mol of atoms

Unit cell a=6.7391 b=6.7391 c=6.1314 alpha=90.00 beta=90.00 gamma=90.00
Sites, in units of the cell vectors:
Cs  0.0000  0.0000  0.0000
Tl  0.5000  0.5000  0.5000
As  0.0000  0.0000  0.5000
Br  0.0000  0.5000  0.0000
Br  0.5000  0.0000  0.0000

Here is Pm6Co2IrCl3 after structural relaxation from the Alexandria database. Energies are from PBE.

SG ... No. 12
Formation energy (no corrections) ... -92 kJ/mol of atoms

Unit cell a=6.9090 b=6.9090 c=7.8426 alpha=98.39 beta=98.39 gamma=120.04
Sites, in units of the cell vectors:
Pm  0.0901  0.4332  0.7984
Pm  0.2235  0.2235  0.2014
Pm  0.4332  0.0901  0.7984
Pm  0.5668  0.9099  0.2016
Pm  0.7765  0.7765  0.7986
Pm  0.9099  0.5668  0.2016
Co  0.1665  0.8335  0.0000
Co  0.8335  0.1665  0.0000
Ir  0.5000  0.5000  0.0000
Cl  0.0000  0.0000  0.5000
Cl  0.3305  0.6695  0.5000
Cl  0.6695  0.3305  0.5000

Here is CeTh3Hg4 after structural relaxation from the Alexandria database. Energies are from PBE.

SG ... No. 47
ΔE_f ... -0.211 eV per atom

Unit cell a=3.7552 b=5.4694 c=10.9448 alpha=90.00 beta=90.00 gamma=90.00
Sites, in units of the cell vectors:
Ce  0.0000  0.0000  0.0000
Th  0.0000  0.0000  0.5000
Th  0.0000  0.5000  0.2525
Th  0.0000  0.5000  0.7475
Hg  0.5000  0.0000  0.2464
Hg  0.5000  0.0000  0.7536
Hg  0.5000  0.5000  0.0000
Hg  0.5000  0.5000  0.5000